Arrangement one

DFT (PBE-GGA) results for crystalline PuUGa at its relaxed geometry.

- Calculated volume: 128.8 Å³/cell
- Symmetry: No. 107
- Magnetization: 14.8 Bohr magnetons per cell
- Crystal system: tetragonal
- DOS(E_F): 5.3 states/eV/f.u.
- Mass density: 14.2 g/cm³

a b c (Å): 3.814 3.814 8.856
angles (deg): 90.00 90.00 90.00
Element x y z (fractional)
Pu 0.000 0.000 0.000
Pu 0.500 0.500 0.500
U 0.000 0.000 0.683
U 0.500 0.500 0.183
Ga 0.000 0.000 0.340
Ga 0.500 0.500 0.840

=====

Arrangement two

DFT (PBE-GGA) results for crystalline PuUGa at its relaxed geometry.

- Calculated volume: 238.7 Å³/cell
- Symmetry: No. 74
- Magnetization: 0.0 Bohr magnetons per cell
- Crystal system: orthorhombic
- DOS(E_F): 4.5 states/eV/f.u.
- Mass density: 15.4 g/cm³

a b c (Å): 4.264 4.358 12.846
angles (deg): 90.00 90.00 90.00
Element x y z (fractional)
Pu 0.000 0.250 0.032
Pu 0.000 0.750 0.968
Pu 0.500 0.250 0.468
Pu 0.500 0.750 0.532
U 0.000 0.250 0.374
U 0.000 0.750 0.626
U 0.500 0.250 0.126
U 0.500 0.750 0.874
Ga 0.000 0.250 0.806
Ga 0.000 0.750 0.194
Ga 0.500 0.250 0.694
Ga 0.500 0.750 0.306

=====

Arrangement three

DFT (PBE-GGA) results for crystalline PuUGa at its relaxed geometry.

- Calculated volume: 57.6 Å³/cell
- Symmetry: No. 187
- Magnetization: 3.7 Bohr magnetons per cell
- Crystal system: hexagonal
- DOS(E_F): 7.4 states/eV/f.u.
- Mass density: 15.9 g/cm³

a b c (Å): 4.835 4.835 2.846
angles (deg): 90.00 90.00 120.00
Element x y z (fractional)
Pu 0.000 0.000 0.000
U 0.333 0.667 0.000
Ga 0.667 0.333 0.500

=====

Arrangement four

DFT (PBE-GGA) results for crystalline PuUGa at its relaxed geometry.

- Calculated volume: 238.5 Å³/cell
- Symmetry: No. 36
- Magnetization: 17.5 Bohr magnetons per cell
- Crystal system: orthorhombic
- DOS(E_F): 5.7 states/eV/f.u.
- Mass density: 15.4 g/cm³

a b c (Å): 4.710 9.916 5.106
angles (deg): 90.00 90.00 90.00
Element x y z (fractional)
Pu 0.000 0.113 0.000
Pu 0.000 0.887 0.500
Pu 0.500 0.387 0.500
Pu 0.500 0.613 0.000
U 0.000 0.255 0.415
U 0.000 0.745 0.915
U 0.500 0.245 0.915
U 0.500 0.755 0.415
Ga 0.000 0.432 0.904
Ga 0.000 0.568 0.404
Ga 0.500 0.068 0.404
Ga 0.500 0.932 0.904

=====

Which is the most stable structure? arrangement two is the most stable.

=====

Arrangement one

DFT (PBE-GGA) results for crystalline Pu2UGa6 at its relaxed geometry.

- Calculated volume: 199.6 Å³/cell
- Symmetry: No. 71
- Magnetization: 14.0 Bohr magnetons per cell
- Crystal system: orthorhombic
- DOS(E_F): 21.0 states/eV/f.u.
- Mass density: 9.5 g/cm³

a b c (Å): 7.688 7.688 7.688
angles (deg): 146.55 126.25 64.81
Element x y z (fractional)
Pu 0.118 0.118 0.000
Pu 0.882 0.882 0.000
U 0.500 0.000 0.500
Ga 0.118 0.313 0.805
Ga 0.194 0.500 0.694
Ga 0.492 0.687 0.805
Ga 0.508 0.313 0.195
Ga 0.806 0.500 0.306
Ga 0.882 0.687 0.195

=====

Arrangement two

DFT (PBE-GGA) results for crystalline Pu2UGa6 at its relaxed geometry.

- Calculated volume: 177.5 Å³/cell
- Symmetry: No. 191
- Magnetization: 13.2 Bohr magnetons per cell
- Crystal system: hexagonal
- DOS(E_F): 17.2 states/eV/f.u.
- Mass density: 10.7 g/cm³

a b c (Å): 8.088 8.088 3.133
angles (deg): 90.00 90.00 120.00
Element x y z (fractional)
Pu 0.333 0.667 0.000
Pu 0.667 0.333 0.000
U 0.000 0.000 0.000
Ga 0.000 0.333 0.500
Ga 0.000 0.667 0.500
Ga 0.333 0.000 0.500
Ga 0.333 0.333 0.500
Ga 0.667 0.000 0.500
Ga 0.667 0.667 0.500

=====

Which is the most stable structure? arrangement two is the most stable.

=====

Arrangement one

DFT (PBE-GGA) results for crystalline PuV2Ga at its relaxed geometry.

- Calculated volume: 62.8 Å³/cell
- Symmetry: No. 123
- Magnetization: 4.1 Bohr magnetons per cell
- Crystal system: tetragonal
- DOS(E_F): 6.4 states/eV/f.u.
- Mass density: 11.0 g/cm³

a b c (Å): 4.310 4.310 3.382
angles (deg): 90.00 90.00 90.00
Element x y z (fractional)
Pu 0.000 0.000 0.000
V 0.000 0.500 0.500
V 0.500 0.000 0.500
Ga 0.500 0.500 0.000

=====

Arrangement two

DFT (PBE-GGA) results for crystalline PuV2Ga at its relaxed geometry.

- Calculated volume: 253.7 Å³/cell
- Symmetry: No. 225
- Magnetization: 20.0 Bohr magnetons per cell
- Crystal system: cubic
- DOS(E_F): 9.1 states/eV/f.u.
- Mass density: 10.9 g/cm³

a b c (Å): 6.330 6.330 6.330
angles (deg): 90.00 90.00 90.00
Element x y z (fractional)
Pu 0.000 0.000 0.000
Pu 0.000 0.500 0.500
Pu 0.500 0.000 0.500
Pu 0.500 0.500 0.000
V 0.250 0.250 0.250
V 0.250 0.250 0.750
V 0.250 0.750 0.250
V 0.250 0.750 0.750
V 0.750 0.250 0.250
V 0.750 0.250 0.750
V 0.750 0.750 0.250
V 0.750 0.750 0.750
Ga 0.000 0.000 0.500
Ga 0.000 0.500 0.000
Ga 0.500 0.000 0.000
Ga 0.500 0.500 0.500

=====

Which is the most stable structure? arrangement one is the most stable.

=====

Arrangement one

DFT (PBE-GGA) results for crystalline PuVGa2 at its relaxed geometry.

- Calculated volume: 69.0 Å³/cell
- Symmetry: No. 123
- Magnetization: 5.2 Bohr magnetons per cell
- Crystal system: tetragonal
- DOS(E_F): 4.8 states/eV/f.u.
- Mass density: 10.5 g/cm³

a b c (Å): 2.873 2.873 8.358
angles (deg): 90.00 90.00 90.00
Element x y z (fractional)
Pu 0.000 0.000 0.000
V 0.000 0.000 0.500
Ga 0.500 0.500 0.283
Ga 0.500 0.500 0.717

=====

Arrangement two

DFT (PBE-GGA) results for crystalline PuVGa2 at its relaxed geometry.

- Calculated volume: 205.5 Å³/cell
- Symmetry: No. 166
- Magnetization: 12.8 Bohr magnetons per cell
- Crystal system: trigonal
- DOS(E_F): 7.1 states/eV/f.u.
- Mass density: 10.5 g/cm³

a b c (Å): 2.862 2.862 28.982
angles (deg): 90.00 90.00 120.00
Element x y z (fractional)
Pu 0.000 0.000 0.000
Pu 0.333 0.667 0.667
Pu 0.667 0.333 0.333
V 0.000 0.000 0.500
V 0.333 0.667 0.167
V 0.667 0.333 0.833
Ga 0.000 0.000 0.241
Ga 0.000 0.000 0.759
Ga 0.333 0.667 0.426
Ga 0.333 0.667 0.907
Ga 0.667 0.333 0.093
Ga 0.667 0.333 0.574

=====

Which is the most stable structure? arrangement one is the most stable.

=====

Arrangement one

DFT (PBE-GGA) results for crystalline YPu2Ga at its relaxed geometry.

- Calculated volume: 323.0 Å³/cell
- Symmetry: No. 166
- Magnetization: 35.4 Bohr magnetons per cell
- Crystal system: trigonal
- DOS(E_F): 14.6 states/eV/f.u.
- Mass density: 10.0 g/cm³

a b c (Å): 3.411 3.411 32.058
angles (deg): 90.00 90.00 120.00
Element x y z (fractional)
Y 0.000 0.000 0.000
Y 0.333 0.667 0.667
Y 0.667 0.333 0.333
Pu 0.000 0.000 0.241
Pu 0.000 0.000 0.759
Pu 0.333 0.667 0.426
Pu 0.333 0.667 0.907
Pu 0.667 0.333 0.093
Pu 0.667 0.333 0.574
Ga 0.000 0.000 0.500
Ga 0.333 0.667 0.167
Ga 0.667 0.333 0.833

=====

Arrangement two

DFT (PBE-GGA) results for crystalline YPu2Ga at its relaxed geometry.

- Calculated volume: 98.1 Å³/cell
- Symmetry: No. 123
- Magnetization: 11.8 Bohr magnetons per cell
- Crystal system: tetragonal
- DOS(E_F): 9.0 states/eV/f.u.
- Mass density: 10.9 g/cm³

a b c (Å): 4.407 4.407 5.053
angles (deg): 90.00 90.00 90.00
Element x y z (fractional)
Y 0.000 0.000 0.000
Pu 0.000 0.500 0.500
Pu 0.500 0.000 0.500
Ga 0.500 0.500 0.000

=====

Which is the most stable structure? arrangement two is the most stable.

=====

Arrangement one

DFT (PBE-GGA) results for crystalline Pu2ZnGa2 at its relaxed geometry.

- Calculated volume: 87.8 Å³/cell
- Symmetry: No. 164
- Magnetization: 0.0 Bohr magnetons per cell
- Crystal system: trigonal
- DOS(E_F): 5.0 states/eV/f.u.
- Mass density: 13.1 g/cm³

a b c (Å): 3.925 3.925 6.579
angles (deg): 90.00 90.00 120.00
Element x y z (fractional)
Pu 0.333 0.667 0.071
Pu 0.667 0.333 0.929
Zn 0.000 0.000 0.500
Ga 0.333 0.667 0.637
Ga 0.667 0.333 0.363

=====

Arrangement two

DFT (PBE-GGA) results for crystalline Pu2ZnGa2 at its relaxed geometry.

- Calculated volume: 201.2 Å³/cell
- Symmetry: No. 12
- Magnetization: 0.1 Bohr magnetons per cell
- Crystal system: monoclinic
- DOS(E_F): 9.9 states/eV/f.u.
- Mass density: 11.4 g/cm³

a b c (Å): 5.546 5.546 8.786
angles (deg): 102.76 102.76 50.15
Element x y z (fractional)
Pu 0.066 0.066 0.343
Pu 0.167 0.167 0.086
Pu 0.833 0.833 0.914
Pu 0.934 0.934 0.657
Zn 0.245 0.245 0.689
Zn 0.755 0.755 0.311
Ga 0.376 0.376 0.409
Ga 0.479 0.479 0.138
Ga 0.521 0.521 0.862
Ga 0.624 0.624 0.591

=====

Which is the most stable structure? arrangement two is the most stable.

=====

Arrangement one

DFT (PBE-GGA) results for crystalline Pu2Zn5Ga3 at its relaxed geometry.

- Calculated volume: 188.6 Å³/cell
- Symmetry: No. 115
- Magnetization: 11.1 Bohr magnetons per cell
- Crystal system: tetragonal
- DOS(E_F): 25.3 states/eV/f.u.
- Mass density: 9.0 g/cm³

a b c (Å): 4.201 4.201 10.688
angles (deg): 90.00 90.00 90.00
Element x y z (fractional)
Pu 0.000 0.500 0.249
Pu 0.500 0.000 0.751
Zn 0.000 0.000 0.000
Zn 0.000 0.000 0.500
Zn 0.000 0.500 0.869
Zn 0.500 0.000 0.131
Zn 0.500 0.500 0.000
Ga 0.000 0.500 0.642
Ga 0.500 0.000 0.358
Ga 0.500 0.500 0.500

=====

Arrangement two

DFT (PBE-GGA) results for crystalline Pu2Zn5Ga3 at its relaxed geometry.

- Calculated volume: 375.6 Å³/cell
- Symmetry: No. 72
- Magnetization: 21.9 Bohr magnetons per cell
- Crystal system: orthorhombic
- DOS(E_F): 24.9 states/eV/f.u.
- Mass density: 9.1 g/cm³

a b c (Å): 8.510 8.510 8.510
angles (deg): 102.19 91.84 139.18
Element x y z (fractional)
Pu 0.124 0.246 0.370
Pu 0.376 0.746 0.122
Pu 0.624 0.254 0.878
Pu 0.876 0.754 0.630
Zn 0.005 0.750 0.255
Zn 0.128 0.869 0.997
Zn 0.250 0.750 0.500
Zn 0.372 0.369 0.740
Zn 0.495 0.750 0.745
Zn 0.505 0.250 0.255
Zn 0.628 0.631 0.260
Zn 0.750 0.250 0.500
Zn 0.872 0.131 0.003
Zn 0.995 0.250 0.745
Ga 0.125 0.641 0.766
Ga 0.250 0.250 0.000
Ga 0.375 0.141 0.517
Ga 0.625 0.859 0.483
Ga 0.750 0.750 0.000
Ga 0.875 0.359 0.234

=====

Which is the most stable structure? arrangement two is the most stable.

=====

Arrangement one

DFT (PBE-GGA) results for crystalline Pu2ZnGa5 at its relaxed geometry.

- Calculated volume: 315.1 Å³/cell
- Symmetry: No. 107
- Magnetization: 22.5 Bohr magnetons per cell
- Crystal system: tetragonal
- DOS(E_F): 19.7 states/eV/f.u.
- Mass density: 9.5 g/cm³

a b c (Å): 6.098 6.098 8.473
angles (deg): 90.00 90.00 90.00
Element x y z (fractional)
Pu 0.000 0.500 0.000
Pu 0.000 0.500 0.500
Pu 0.500 0.000 0.000
Pu 0.500 0.000 0.500
Zn 0.000 0.000 0.499
Zn 0.500 0.500 0.999
Ga 0.000 0.000 0.000
Ga 0.250 0.250 0.250
Ga 0.250 0.250 0.750
Ga 0.250 0.750 0.250
Ga 0.250 0.750 0.750
Ga 0.500 0.500 0.500
Ga 0.750 0.250 0.250
Ga 0.750 0.250 0.750
Ga 0.750 0.750 0.250
Ga 0.750 0.750 0.750

=====

Arrangement two

DFT (PBE-GGA) results for crystalline Pu2ZnGa5 at its relaxed geometry.

- Calculated volume: 321.7 Å³/cell
- Symmetry: No. 63
- Magnetization: 23.1 Bohr magnetons per cell
- Crystal system: orthorhombic
- DOS(E_F): 21.3 states/eV/f.u.
- Mass density: 9.3 g/cm³

a b c (Å): 8.518 8.518 8.940
angles (deg): 90.00 90.00 150.26
Element x y z (fractional)
Pu 0.000 0.000 0.000
Pu 0.000 0.000 0.500
Pu 0.202 0.798 0.750
Pu 0.798 0.202 0.250
Zn 0.443 0.557 0.250
Zn 0.557 0.443 0.750
Ga 0.190 0.810 0.105
Ga 0.190 0.810 0.395
Ga 0.355 0.645 0.025
Ga 0.355 0.645 0.475
Ga 0.410 0.590 0.750
Ga 0.590 0.410 0.250
Ga 0.645 0.355 0.525
Ga 0.645 0.355 0.975
Ga 0.810 0.190 0.605
Ga 0.810 0.190 0.895

=====

Which is the most stable structure? arrangement one is the most stable.

=====

Arrangement one

DFT (PBE-GGA) results for crystalline PuZrGa at its relaxed geometry.

- Calculated volume: 67.1 Å³/cell
- Symmetry: No. 187
- Magnetization: 5.5 Bohr magnetons per cell
- Crystal system: hexagonal
- DOS(E_F): 5.8 states/eV/f.u.
- Mass density: 10.0 g/cm³

a b c (Å): 4.915 4.915 3.207
angles (deg): 90.00 90.00 120.00
Element x y z (fractional)
Pu 0.000 0.000 0.000
Zr 0.333 0.667 0.500
Ga 0.667 0.333 0.500

=====

Arrangement two

DFT (PBE-GGA) results for crystalline PuZrGa at its relaxed geometry.

- Calculated volume: 127.8 Å³/cell
- Symmetry: No. 194
- Magnetization: 10.9 Bohr magnetons per cell
- Crystal system: hexagonal
- DOS(E_F): 6.8 states/eV/f.u.
- Mass density: 10.5 g/cm³

a b c (Å): 5.050 5.050 5.788
angles (deg): 90.00 90.00 120.00
Element x y z (fractional)
Pu 0.000 0.000 0.000
Pu 0.000 0.000 0.500
Zr 0.333 0.667 0.250
Zr 0.667 0.333 0.750
Ga 0.333 0.667 0.750
Ga 0.667 0.333 0.250

=====

Which is the most stable structure? arrangement two is the most stable.

=====

Arrangement one

DFT (PBE-GGA) results for crystalline PuZrGa2 at its relaxed geometry.

- Calculated volume: 262.4 Å³/cell
- Symmetry: No. 166
- Magnetization: 16.7 Bohr magnetons per cell
- Crystal system: trigonal
- DOS(E_F): 8.7 states/eV/f.u.
- Mass density: 9.0 g/cm³

a b c (Å): 3.322 3.322 27.456
angles (deg): 90.00 90.00 120.00
Element x y z (fractional)
Pu 0.000 0.000 0.000
Pu 0.333 0.667 0.667
Pu 0.667 0.333 0.333
Zr 0.000 0.000 0.500
Zr 0.333 0.667 0.167
Zr 0.667 0.333 0.833
Ga 0.000 0.000 0.246
Ga 0.000 0.000 0.754
Ga 0.333 0.667 0.421
Ga 0.333 0.667 0.912
Ga 0.667 0.333 0.088
Ga 0.667 0.333 0.579

=====

Arrangement two

DFT (PBE-GGA) results for crystalline PuZrGa2 at its relaxed geometry.

- Calculated volume: 83.2 Å³/cell
- Symmetry: No. 123
- Magnetization: 6.0 Bohr magnetons per cell
- Crystal system: tetragonal
- DOS(E_F): 9.8 states/eV/f.u.
- Mass density: 9.5 g/cm³

a b c (Å): 4.547 4.547 4.025
angles (deg): 90.00 90.00 90.00
Element x y z (fractional)
Pu 0.000 0.000 0.000
Zr 0.500 0.500 0.000
Ga 0.000 0.500 0.500
Ga 0.500 0.000 0.500

=====

Which is the most stable structure? arrangement two is the most stable.

=====

Arrangement one

DFT (PBE-GGA) results for crystalline PuZrGa2 at its relaxed geometry.

- Calculated volume: 80.5 Å³/cell
- Symmetry: No. 123
- Magnetization: 5.2 Bohr magnetons per cell
- Crystal system: tetragonal
- DOS(E_F): 6.6 states/eV/f.u.
- Mass density: 9.8 g/cm³

a b c (Å): 3.082 3.082 8.479
angles (deg): 90.00 90.00 90.00
Element x y z (fractional)
Pu 0.000 0.000 0.000
Zr 0.000 0.000 0.500
Ga 0.500 0.500 0.263
Ga 0.500 0.500 0.737

=====

Arrangement two

DFT (PBE-GGA) results for crystalline PuZrGa2 at its relaxed geometry.

- Calculated volume: 332.0 Å³/cell
- Symmetry: No. 225
- Magnetization: 23.1 Bohr magnetons per cell
- Crystal system: cubic
- DOS(E_F): 7.8 states/eV/f.u.
- Mass density: 9.5 g/cm³

a b c (Å): 6.924 6.924 6.924
angles (deg): 90.00 90.00 90.00
Element x y z (fractional)
Pu 0.000 0.000 0.000
Pu 0.000 0.500 0.500
Pu 0.500 0.000 0.500
Pu 0.500 0.500 0.000
Zr 0.000 0.000 0.500
Zr 0.000 0.500 0.000
Zr 0.500 0.000 0.000
Zr 0.500 0.500 0.500
Ga 0.250 0.250 0.250
Ga 0.250 0.250 0.750
Ga 0.250 0.750 0.250
Ga 0.250 0.750 0.750
Ga 0.750 0.250 0.250
Ga 0.750 0.250 0.750
Ga 0.750 0.750 0.250
Ga 0.750 0.750 0.750

=====

Which is the most stable structure? arrangement one is the most stable.